Entry 1:
Below is a geometry-optimized Sr2YNpP4 structure, with properties calculated at the PBE level.

Lattice parameters (Å, degrees): 7.1147 4.1514 7.3165 90.00 108.85 90.00
Closest atoms and distances in Å follow each position.
Space group P2/m (No. 10)
Inequivalent atoms, fractional coordinates:
Sr (0.0000, 0.0000, 0.0000) (multiplicity 1)  6 P 3.14-3.16
Sr (0.5000, 0.5000, 0.0000) (multiplicity 1)  6 P 3.05-3.06
Y (0.0000, 0.5000, 0.5000) (multiplicity 1)  6 P 2.84-2.86
Np (0.5000, 0.0000, 0.5000) (multiplicity 1)  6 P 2.72-2.78
P (0.2522, 0.0000, 0.7153) (multiplicity 2)  1 Np 2.72, 2 Y 2.86
P (0.2721, 0.5000, 0.2887) (multiplicity 2)  2 Np 2.78, 1 Y 2.84, 1 Sr 3.05

Results
The value obtained for the formation energy is -1.118 eV/atom. The total magnetization comes out at 2.0 μB/cell. The density comes out at 5.08 g/cm3.

Entry 2:
Below is a geometry-optimized NpTaP2 structure, with properties calculated at the PBE level.

Lattice parameters (Å, degrees): 3.7501 3.7501 18.1472 90.00 90.00 120.00
Closest atoms and distances in Å follow each position.
Space group R-3m (No. 166, hexagonal axes)
Inequivalent atoms, fractional coordinates:
Np (0.0000, 0.0000, 0.0000) (multiplicity 3)  6 P 2.72
Ta (0.0000, 0.0000, 0.5000) (multiplicity 3)  6 P 2.57
P (0.0000, 0.0000, 0.2427) (multiplicity 6)  3 Ta 2.57, 3 Np 2.72

Results
As for the energy above the most stable polymorph in this dataset: 0.0 meV per atom. The value obtained for the formation energy is -0.813 eV/atom. The total magnetization comes out at 10.4 μB/cell. The density comes out at 10.82 g/cm3.

Entry 3:
Below is a geometry-optimized NpTaP2 structure, with properties calculated at the PBE level.

Lattice parameters (Å, degrees): 3.5972 3.5972 20.1257 90.00 90.00 120.00
Closest atoms and distances in Å follow each position.
Space group R3m (No. 160, hexagonal axes)
Inequivalent atoms, fractional coordinates:
Np (0.0000, 0.0000, 0.0000) (multiplicity 3)  6 P 2.73-2.87
Ta (0.0000, 0.0000, 0.8249) (multiplicity 3)  6 P 2.51-2.59
P (0.0000, 0.0000, 0.4215) (multiplicity 3)  3 Ta 2.51, 3 Np 2.73
P (0.0000, 0.0000, 0.5684) (multiplicity 3)  3 Ta 2.59, 3 Np 2.87

Results
As for the energy above the most stable polymorph in this dataset: 52.1 meV per atom. The value obtained for the formation energy is -0.761 eV/atom. The total magnetization comes out at 12.0 μB/cell. The density comes out at 10.60 g/cm3.

Entry 4:
Below is a geometry-optimized Np3U2TaP6 structure, with properties calculated at the PBE level.

Lattice parameters (Å, degrees): 6.7457 11.6181 6.6396 90.00 109.56 90.00
Closest atoms and distances in Å follow each position.
Space group C2/m (No. 12)
Inequivalent atoms, fractional coordinates:
Np (0.0000, 0.0000, 0.0000) (multiplicity 2)  6 P 2.75-2.83
Np (0.0000, 0.3286, 0.0000) (multiplicity 4)  6 P 2.74-2.82
U (0.0000, 0.1646, 0.5000) (multiplicity 4)  6 P 2.73-2.75
Ta (0.0000, 0.5000, 0.5000) (multiplicity 2)  6 P 2.61-2.64
P (0.2359, 0.5000, 0.2536) (multiplicity 4)  1 Ta 2.64, 3 Np 2.75-2.83, 2 U 2.75
P (0.2380, 0.3397, 0.7372) (multiplicity 8)  1 Ta 2.61, 2 U 2.73-2.74, 3 Np 2.74-2.82

Results
The value obtained for the formation energy is -0.887 eV/atom. The total magnetization comes out at 29.0 μB/cell. The density comes out at 10.52 g/cm3.

Entry 5:
Below is a geometry-optimized TbNpP structure, with properties calculated at the PBE level.

Lattice parameters (Å, degrees): 3.9476 3.8795 8.2048 90.00 90.85 90.00
Closest atoms and distances in Å follow each position.
Space group P2_1/m (No. 11)
Inequivalent atoms, fractional coordinates:
Tb (0.2468, 0.2500, 0.3591) (multiplicity 2)  5 P 2.84-2.99
Np (0.1971, 0.7500, 0.9993) (multiplicity 2)  2 Np 2.49
P (0.2606, 0.2500, 0.7241) (multiplicity 2)  5 Tb 2.84-2.99, 4 Np 2.92-3.10

Results
The value obtained for the formation energy is -0.823 eV/atom. The total magnetization comes out at 3.8 μB/cell. The density comes out at 11.28 g/cm3.

Entry 6:
Below is a geometry-optimized Tb3NpP4 structure, with properties calculated at the PBE level.

Lattice parameters (Å, degrees): 6.9384 8.0071 6.9330 90.00 109.51 90.00
Closest atoms and distances in Å follow each position.
Space group P2/c (No. 13)
Inequivalent atoms, fractional coordinates:
Tb (0.0000, 0.1237, 0.2500) (multiplicity 2)  6 P 2.82-2.88
Tb (0.0000, 0.3736, 0.7500) (multiplicity 2)  6 P 2.82-2.88
Tb (0.5000, 0.1241, 0.7500) (multiplicity 2)  6 P 2.83-2.85
Np (0.5000, 0.3746, 0.2500) (multiplicity 2)  6 P 2.78-2.79
P (0.2524, 0.1288, 0.0046) (multiplicity 4)  1 Np 2.79, 5 Tb 2.82-2.86
P (0.2573, 0.3788, 0.4989) (multiplicity 4)  2 Np 2.78-2.79, 4 Tb 2.84-2.88

Results
The value obtained for the formation energy is -1.422 eV/atom. The total magnetization comes out at 7.0 μB/cell. The density comes out at 7.66 g/cm3.

Entry 7:
Below is a geometry-optimized TbNp3P4 structure, with properties calculated at the PBE level.

Lattice parameters (Å, degrees): 7.9555 11.2347 3.9703 90.00 90.00 90.00
Closest atoms and distances in Å follow each position.
Space group Cmmm (No. 65)
Inequivalent atoms, fractional coordinates:
Tb (0.0000, 0.0000, 0.0000) (multiplicity 2)  6 P 2.83-2.84
Np (0.0000, 0.5000, 0.0000) (multiplicity 2)  6 P 2.78
Np (0.2500, 0.2500, 0.5000) (multiplicity 4)  6 P 2.81
P (0.0000, 0.2522, 0.0000) (multiplicity 4)  5 Np 2.78-2.81, 1 Tb 2.83
P (0.2448, 0.5000, 0.5000) (multiplicity 4)  4 Np 2.78-2.81, 2 Tb 2.84

Results
The value obtained for the formation energy is -1.053 eV/atom. The total magnetization comes out at 22.2 μB/cell. The density comes out at 9.30 g/cm3.

Entry 8:
Below is a geometry-optimized TbNp4P5 structure, with properties calculated at the PBE level.

Lattice parameters (Å, degrees): 3.9743 5.6173 19.8679 90.00 90.00 90.00
Closest atoms and distances in Å follow each position.
Space group Immm (No. 71)
Inequivalent atoms, fractional coordinates:
Tb (0.0000, 0.0000, 0.0000) (multiplicity 2)  6 P 2.81-2.85
Np (0.0000, 0.0000, 0.2010) (multiplicity 4)  6 P 2.78-2.81
Np (0.0000, 0.0000, 0.4008) (multiplicity 4)  6 P 2.80-2.81
P (0.0000, 0.5000, 0.0000) (multiplicity 2)  4 Np 2.80, 2 Tb 2.81
P (0.0000, 0.5000, 0.1989) (multiplicity 4)  6 Np 2.81
P (0.0000, 0.5000, 0.3971) (multiplicity 4)  4 Np 2.78-2.81, 2 Tb 2.85

Results
The value obtained for the formation energy is -1.017 eV/atom. The total magnetization comes out at 29.9 μB/cell. The density comes out at 9.45 g/cm3.